No. 1
Pr5Nd2Sm | GGA-PBE | relaxed

Summary:
For the density of states at the Fermi level, the calculation gives 26.53 states/eV/cell. As for the mass density: 6.65 g/cm3. Its space group is No. 55. For the energy relative to the elements, the calculation gives 0.10 eV/f.u. The size of the total moment is 0.00 Bohr magnetons per cell. The value obtained for the distance to the lowest polymorph of the same formula is 0.0000 eV/atom.

a = 5.2353 Å, b = 7.3795 Å, c = 14.7701 Å
α = 90.00°, β = 90.00°, γ = 90.00°
Fractional coordinates of all 16 atoms:
1 Pr 0.0000 0.4997 0.7508
2 Nd 0.5000 0.2508 0.1242
3 Nd 0.5000 0.7508 0.3758
4 Pr 0.0000 0.5000 0.5000
5 Nd 0.5000 0.7492 0.8758
6 Pr 0.0000 0.0003 0.2508
7 Nd 0.5000 0.2492 0.6242
8 Sm 0.0000 0.0000 0.5000
9 Pr 0.0000 0.0000 0.0000
10 Pr 0.5000 0.7497 0.1245
11 Pr 0.0000 0.9997 0.7492
12 Pr 0.0000 0.5003 0.2492
13 Sm 0.0000 0.5000 0.0000
14 Pr 0.5000 0.2497 0.3755
15 Pr 0.5000 0.7503 0.6245
16 Pr 0.5000 0.2503 0.8755



No. 2
Sc2SCl | GGA-PBE | relaxed

Summary:
Its uncorrected formation energy is -799 meV/atom. For the density of states at the Fermi level, the calculation gives 2.31 states/eV/cell. As for the mass density: 2.82 g/cm3. Its space group is No. 166. The size of the total moment is 0.00 Bohr magnetons per cell. The value obtained for the distance to the lowest polymorph of the same formula is 0.6908 eV/atom.

a = 8.5359 Å, b = 8.5359 Å, c = 8.5359 Å
α = 24.34°, β = 24.34°, γ = 24.34°
Fractional coordinates of all 4 atoms:
1 Sc 0.0925 0.0925 0.0925
2 Cl 0.5000 0.5000 0.5000
3 Sc 0.9075 0.9075 0.9075
4 S 0.0000 0.0000 0.0000



No. 3
SmHoMg6 | GGA-PBE | relaxed

Summary:
For the density of states at the Fermi level, the calculation gives 8.33 states/eV/cell. As for the mass density: 3.77 g/cm3. Its space group is No. 38. For the energy relative to the elements, the calculation gives -0.59 eV/f.u. The size of the total moment is 0.00 Bohr magnetons per cell.

a = 5.1954 Å, b = 6.7122 Å, c = 6.7122 Å
α = 119.93°, β = 90.00°, γ = 90.00°
Fractional coordinates of all 8 atoms:
1 Mg 0.5000 0.9132 0.5779
2 Mg 0.0000 0.5876 0.4124
3 Mg 0.0000 0.5886 0.9260
4 Sm 0.5000 0.4161 0.5839
5 Mg 0.5000 0.4221 0.0868
6 Mg 0.5000 0.9142 0.0858
7 Mg 0.0000 0.0740 0.4114
8 Ho 0.0000 0.0838 0.9162



Copy entry 1 word for word.
Pr5Nd2Sm | GGA-PBE | relaxed

Summary:
For the density of states at the Fermi level, the calculation gives 26.53 states/eV/cell. As for the mass density: 6.65 g/cm3. Its space group is No. 55. For the energy relative to the elements, the calculation gives 0.10 eV/f.u. The size of the total moment is 0.00 Bohr magnetons per cell. The value obtained for the distance to the lowest polymorph of the same formula is 0.0000 eV/atom.

a = 5.2353 Å, b = 7.3795 Å, c = 14.7701 Å
α = 90.00°, β = 90.00°, γ = 90.00°
Fractional coordinates of all 16 atoms:
1 Pr 0.0000 0.4997 0.7508
2 Nd 0.5000 0.2508 0.1242
3 Nd 0.5000 0.7508 0.3758
4 Pr 0.0000 0.5000 0.5000
5 Nd 0.5000 0.7492 0.8758
6 Pr 0.0000 0.0003 0.2508
7 Nd 0.5000 0.2492 0.6242
8 Sm 0.0000 0.0000 0.5000
9 Pr 0.0000 0.0000 0.0000
10 Pr 0.5000 0.7497 0.1245
11 Pr 0.0000 0.9997 0.7492
12 Pr 0.0000 0.5003 0.2492
13 Sm 0.0000 0.5000 0.0000
14 Pr 0.5000 0.2497 0.3755
15 Pr 0.5000 0.7503 0.6245
16 Pr 0.5000 0.2503 0.8755